CdCo2Ru | the Alexandria database | PBE | optimized geometry; energy of formation = 0.4257 eV/atom; total energy = -5.675 eV/atom
1.0
3.777 0.000 0.000
0.000 3.777 0.000
0.000 0.000 7.902
Cd Co Ru
2 4 2
Direct
0.000 0.000 0.000
0.500 0.500 0.500
0.000 0.000 0.500
0.000 0.500 0.750
0.500 0.000 0.250
0.500 0.500 0.000
0.000 0.500 0.250
0.500 0.000 0.750